1.
This record from the Alexandria database describes a relaxed structure of BeBr2. The functional is PBE-GGA.

Properties
- Crystal system: hexagonal
- Fermi-level density of states: 0.000 states/eV per cell
- Excess energy over the best structure of this formula in the dataset: 297 meV/atom
- Space group: P-62m (189)
- Formation energy from raw total energies: -0.725 eV per atom

Cell lengths 6.5571, 6.5571, 6.5407 Å; angles 90.00, 90.00, 120.00 degrees
Last column: nearest neighbours and their distance in Å.
Positions (direct):
Be1 0.3333 0.6667 0.0000  3 Br 2.14
Be2 0.6667 0.3333 0.0000  3 Br 2.14
Be3 0.0000 0.0000 0.5000  3 Br 2.08
Br1 0.3482 0.0000 0.0000  2 Be 2.14
Br2 0.0000 0.3482 0.0000  2 Be 2.14
Br3 0.6518 0.6518 0.0000  2 Be 2.14
Br4 0.6834 0.0000 0.5000  1 Be 2.08
Br5 0.0000 0.6834 0.5000  1 Be 2.08
Br6 0.3166 0.3166 0.5000  1 Be 2.08



2.
This record from the Alexandria database describes a relaxed structure of BeBr. The functional is PBE-GGA.

Properties
- Crystal system: orthorhombic
- Fermi-level density of states: 0.522 states/eV per cell
- Excess energy over the best structure of this formula in the dataset: 403 meV/atom
- Space group: Cmme (67)
- Formation energy from raw total energies: -0.002 eV per atom

Cell lengths 3.9676, 3.9676, 9.1602 Å; angles 90.00, 90.00, 132.36 degrees
Last column: nearest neighbours and their distance in Å.
Positions (direct):
Be1 0.0000 0.0000 0.9836  2 Br 2.20
Be2 0.5000 0.5000 0.7664  2 Br 2.20
Br1 0.0000 0.0000 0.6022  2 Be 2.20
Br2 0.5000 0.5000 0.1478  2 Be 2.20



3.
This record from the Alexandria database describes a relaxed structure of BeBr2. The functional is PBE-GGA.

Properties
- Crystal system: hexagonal
- Excess energy over the best structure of this formula in the dataset: 807 meV/atom
- Space group: P6_3/mmc (194)
- Formation energy from raw total energies: -0.215 eV per atom

Cell lengths 7.0367, 7.0367, 12.1227 Å; angles 90.00, 90.00, 120.00 degrees
Last column: nearest neighbours and their distance in Å.
Positions (direct):
Be1 0.3333 0.6667 0.8341  1 Be 2.04, 3 Br 2.17
Be2 0.6667 0.3333 0.3341  1 Be 2.04, 3 Br 2.17
Be3 0.6667 0.3333 0.1659  1 Be 2.04, 3 Br 2.17
Be4 0.3333 0.6667 0.6659  1 Be 2.04, 3 Br 2.17
Br1 0.0000 0.0000 0.0000  6 Br 3.72
Br2 0.0000 0.0000 0.5000  6 Br 3.72
Br3 0.8237 0.6473 0.2500  2 Be 2.17
Br4 0.1763 0.3527 0.7500  2 Be 2.17
Br5 0.3527 0.1763 0.2500  2 Be 2.17
Br6 0.8237 0.1763 0.2500  2 Be 2.17
Br7 0.1763 0.8237 0.7500  2 Be 2.17
Br8 0.6473 0.8237 0.7500  2 Be 2.17